DFT (PBE-GGA) results for a relaxed structure of ReW14.

```
30
Lattice="9.776 0.000 0.000 0.000 9.776 0.000 0.000 0.000 5.126" Properties=species:S:1:pos:R:3 pbc="T T T"
W 9.435 3.613 2.563
W 3.900 3.900 0.000
W 7.407 5.504 2.563
W 0.341 6.163 2.563
W 6.163 0.341 2.563
W 0.616 7.257 0.000
W 7.961 7.961 1.290
W 1.275 4.547 0.000
W 3.073 6.703 1.273
W 1.815 1.815 3.836
W 1.815 1.815 1.290
W 9.160 2.519 0.000
W 8.788 0.988 2.563
W 3.073 6.703 3.853
W 2.519 9.160 0.000
W 5.229 8.501 0.000
W 0.988 8.788 2.563
W 6.703 3.073 3.853
W 7.961 7.961 3.836
W 3.613 9.435 2.563
W 6.703 3.073 1.273
W 7.257 0.616 0.000
W 2.369 4.272 2.563
W 8.501 5.229 0.000
W 5.504 7.407 2.563
W 4.272 2.369 2.563
W 4.547 1.275 0.000
W 5.876 5.876 0.000
Re 0.000 0.000 0.000
Re 4.888 4.888 2.563
```

Values from the calculation:
Total moment ... 0.01 μB per formula unit
Space-group type ... P4_2/mnm, No. 136
DFT total energy ... -191.7 eV/f.u.

DFT (PBE-GGA) results for a relaxed structure of CdSnSeO.

```
16
Lattice="-0.723 -4.282 4.655 -4.442 -5.017 -5.305 6.090 -3.241 -2.035" Properties=species:S:1:pos:R:3 pbc="T T T"
Sn 2.211 -4.443 -1.657
Sn -2.705 -5.009 -2.761
Sn 1.393 -10.128 -2.480
Sn 0.949 -5.500 1.528
Cd 3.648 -8.152 -0.191
Cd -0.678 -7.810 -0.971
Cd -0.584 -7.031 -4.593
Cd -0.537 -2.087 0.384
O -0.054 -9.958 -1.071
O 3.890 -4.352 -2.790
O -0.484 -4.137 1.081
O -1.504 -6.632 -2.590
Se -1.301 -7.462 1.556
Se -2.851 -5.751 -5.649
Se 4.098 -4.627 0.649
Se 1.901 -7.239 -1.926
```

Values from the calculation:
Space-group type ... P2_12_12_1, No. 19
ΔE to the lowest computed polymorph ... 108.5 meV/atom